Below is a relaxed LiPmErNi crystal, with properties calculated at the PBE-GGA level.

a b c (Å): 4.966 4.966 4.966
angles (deg): 60.00 60.00 60.00
Sites, in units of the cell vectors:
1 Li 0.000 0.000 0.000
2 Pm 0.250 0.250 0.250
3 Er 0.750 0.750 0.750
4 Ni 0.500 0.500 0.500

Properties
The value obtained for the energy of formation from the pure elements is -0.11 eV per atom. The crystal system is cubic. The total DFT energy (no corrections) comes out at -17.4 eV/cell. For the total magnetization, the calculation gives 0.000 μB per atom. The volume is 86.60 Å³ per cell.

=====

Below is a relaxed LiPrErNi crystal, with properties calculated at the PBE-GGA level.

a b c (Å): 5.004 5.004 5.004
angles (deg): 60.00 60.00 60.00
Sites, in units of the cell vectors:
1 Li 0.000 0.000 0.000
2 Pr 0.750 0.750 0.750
3 Er 0.250 0.250 0.250
4 Ni 0.500 0.500 0.500

Properties
The value obtained for the energy of formation from the pure elements is -0.09 eV per atom. The crystal system is cubic. The total DFT energy (no corrections) comes out at -17.4 eV/cell. For the total magnetization, the calculation gives 0.000 μB per atom. The volume is 88.62 Å³ per cell.

=====

Below is a relaxed LiErNiSb crystal, with properties calculated at the PBE-GGA level.

a b c (Å): 4.617 4.617 4.617
angles (deg): 60.00 60.00 60.00
Sites, in units of the cell vectors:
1 Li 0.000 0.000 0.000
2 Er 0.250 0.250 0.250
3 Ni 0.500 0.500 0.500
4 Sb 0.750 0.750 0.750

Properties
For the uncorrected formation energy, the calculation gives -502 meV per atom. The crystal system is cubic. The total DFT energy (no corrections) comes out at -18.4 eV/cell. For the total magnetization, the calculation gives 0.000 μB per atom. The volume is 69.58 Å³ per cell.

=====

Below is a relaxed LiErScNi crystal, with properties calculated at the PBE-GGA level.

a b c (Å): 4.747 4.747 4.747
angles (deg): 60.00 60.00 60.00
Sites, in units of the cell vectors:
1 Li 0.000 0.000 0.000
2 Er 0.750 0.750 0.750
3 Sc 0.250 0.250 0.250
4 Ni 0.500 0.500 0.500

Properties
The value obtained for the energy of formation from the pure elements is -0.17 eV per atom. The crystal system is cubic. The total DFT energy (no corrections) comes out at -19.3 eV/cell. For the total magnetization, the calculation gives 0.000 μB per atom. The volume is 75.63 Å³ per cell.

=====

Below is a relaxed LiEr2Si3Ni12 crystal, with properties calculated at the PBE-GGA level.

a b c (Å): 6.210 6.210 6.210
angles (deg): 84.14 84.14 84.14
Sites, in units of the cell vectors:
1 Li 0.000 0.000 0.000
2 Er 0.348 0.348 0.348
3 Er 0.652 0.652 0.652
4 Si 0.000 0.000 0.500
5 Si 0.000 0.500 0.000
6 Si 0.500 0.000 0.000
7 Ni 0.096 0.615 0.615
8 Ni 0.187 0.187 0.705
9 Ni 0.187 0.705 0.187
10 Ni 0.295 0.813 0.813
11 Ni 0.385 0.385 0.904
12 Ni 0.385 0.904 0.385
13 Ni 0.615 0.096 0.615
14 Ni 0.615 0.615 0.096
15 Ni 0.705 0.187 0.187
16 Ni 0.813 0.295 0.813
17 Ni 0.813 0.813 0.295
18 Ni 0.904 0.385 0.385

Properties
For the uncorrected formation energy, the calculation gives -233 meV per atom. The crystal system is trigonal. The total DFT energy (no corrections) comes out at -100.9 eV/cell. For the total magnetization, the calculation gives 0.000 μB per atom. The volume is 235.91 Å³ per cell.

=====

Below is a relaxed LiErSi2Ni crystal, with properties calculated at the PBE-GGA level.

a b c (Å): 5.722 5.722 5.722
angles (deg): 139.83 139.83 58.11
Sites, in units of the cell vectors:
1 Li 0.000 0.000 0.000
2 Er 0.250 0.750 0.500
3 Si 0.632 0.132 0.500
4 Si 0.868 0.368 0.500
5 Ni 0.500 0.500 0.000

Properties
For the uncorrected formation energy, the calculation gives -642 meV per atom. The crystal system is tetragonal. The total DFT energy (no corrections) comes out at -26.3 eV/cell. For the total magnetization, the calculation gives 0.000 μB per atom. The volume is 77.26 Å³ per cell.

=====

Below is a relaxed LiEr3Si6Ni2 crystal, with properties calculated at the PBE-GGA level.

a b c (Å): 5.633 5.633 7.860
angles (deg): 90.00 90.00 120.00
Sites, in units of the cell vectors:
1 Li 0.000 0.000 0.000
2 Er 0.000 0.000 0.500
3 Er 0.333 0.667 0.108
4 Er 0.667 0.333 0.892
5 Si 0.189 0.379 0.774
6 Si 0.189 0.811 0.774
7 Si 0.379 0.189 0.226
8 Si 0.621 0.811 0.774
9 Si 0.811 0.189 0.226
10 Si 0.811 0.621 0.226
11 Ni 0.333 0.667 0.538
12 Ni 0.667 0.333 0.462

Properties
For the uncorrected formation energy, the calculation gives -311 meV per atom. The crystal system is trigonal. The total DFT energy (no corrections) comes out at -63.4 eV/cell. For the total magnetization, the calculation gives 0.000 μB per atom. The volume is 216.01 Å³ per cell.

=====

Below is a relaxed LiErSiNi crystal, with properties calculated at the PBE-GGA level.

a b c (Å): 4.377 4.377 4.377
angles (deg): 60.00 60.00 60.00
Sites, in units of the cell vectors:
1 Li 0.000 0.000 0.000
2 Er 0.250 0.250 0.250
3 Si 0.750 0.750 0.750
4 Ni 0.500 0.500 0.500

Properties
For the uncorrected formation energy, the calculation gives -550 meV per atom. The crystal system is cubic. The total DFT energy (no corrections) comes out at -19.9 eV/cell. For the total magnetization, the calculation gives 0.000 μB per atom. The volume is 59.30 Å³ per cell.

=====

Below is a relaxed LiErTlNi crystal, with properties calculated at the PBE-GGA level.

a b c (Å): 4.687 4.687 4.687
angles (deg): 60.00 60.00 60.00
Sites, in units of the cell vectors:
1 Li 0.000 0.000 0.000
2 Er 0.250 0.250 0.250
3 Tl 0.750 0.750 0.750
4 Ni 0.500 0.500 0.500

Properties
The value obtained for the energy of formation from the pure elements is -0.25 eV per atom. The crystal system is cubic. The total DFT energy (no corrections) comes out at -15.6 eV/cell. For the total magnetization, the calculation gives 0.000 μB per atom. The volume is 72.81 Å³ per cell.

=====

Below is a relaxed LiErTmNi crystal, with properties calculated at the PBE-GGA level.

a b c (Å): 4.863 4.863 4.863
angles (deg): 60.00 60.00 60.00
Sites, in units of the cell vectors:
1 Li 0.000 0.000 0.000
2 Er 0.750 0.750 0.750
3 Tm 0.250 0.250 0.250
4 Ni 0.500 0.500 0.500

Properties
The value obtained for the energy of formation from the pure elements is -0.17 eV per atom. The crystal system is cubic. The total DFT energy (no corrections) comes out at -17.4 eV/cell. For the total magnetization, the calculation gives 0.000 μB per atom. The volume is 81.30 Å³ per cell.

=====

Below is a relaxed LiEr2Zn12Ni3 crystal, with properties calculated at the PBE-GGA level.

a b c (Å): 7.959 7.959 7.959
angles (deg): 56.64 56.64 56.64
Sites, in units of the cell vectors:
1 Li 0.000 0.000 0.000
2 Er 0.415 0.415 0.415
3 Er 0.585 0.585 0.585
4 Zn 0.142 0.775 0.775
5 Zn 0.168 0.168 0.533
6 Zn 0.168 0.533 0.168
7 Zn 0.225 0.225 0.858
8 Zn 0.225 0.858 0.225
9 Zn 0.467 0.832 0.832
10 Zn 0.533 0.168 0.168
11 Zn 0.775 0.142 0.775
12 Zn 0.775 0.775 0.142
13 Zn 0.832 0.467 0.832
14 Zn 0.832 0.832 0.467
15 Zn 0.858 0.225 0.225
16 Ni 0.000 0.000 0.500
17 Ni 0.000 0.500 0.000
18 Ni 0.500 0.000 0.000

Properties
The value obtained for the energy of formation from the pure elements is 0.14 eV per atom. The crystal system is trigonal. The total DFT energy (no corrections) comes out at -41.2 eV/cell. For the total magnetization, the calculation gives 0.000 μB per atom. The volume is 328.88 Å³ per cell.